CsSrCu, optimized geometry, DFT GGA-PBE; energy above the lowest structure with this stoichiometry = 480 meV per atom; density = 3.779 Mg/m³; V = 41.6 Å³/atom
1.0
7.933 0.000 0.000
0.000 7.933 0.000
0.000 0.000 7.933
Cs Sr Cu
4 4 4
Cartesian
0.000 0.000 0.000 Cs
0.000 3.967 3.967 Cs
3.967 0.000 3.967 Cs
3.967 3.967 0.000 Cs
1.983 1.983 1.983 Sr
1.983 5.950 5.950 Sr
5.950 1.983 5.950 Sr
5.950 5.950 1.983 Sr
1.983 1.983 5.950 Cu
1.983 5.950 1.983 Cu
5.950 1.983 1.983 Cu
5.950 5.950 5.950 Cu